8
Lattice="4.314 0.000 0.000 0.000 3.629 0.000 -1.940 0.000 5.632" Properties=species:S:1:pos:R:3 comment="PBE TbHO2, relaxed" mass_density_g_cm3=7.23 sg="No. 11" energy_ev_per_atom=-7.124 volume_a3_per_cell=88 pbc="T T T"
Tb 0.119 0.907 1.744
Tb 2.255 2.722 3.888
H 1.942 2.722 0.450
H 0.432 0.907 5.183
O 0.974 2.722 0.348
O 0.078 2.722 3.115
O 2.296 0.907 2.518
O 1.400 0.907 5.284